No. 1
7
Lattice="4.949 0.000 1.546 2.233 4.417 1.546 -0.195 -0.120 9.317" Properties=species:S:1:pos:R:3 comment="Ce2TmHg4 (PBE-GGA, optimized geometry)" magnetic_moment_mub_per_cell=2.21 relative_energy_ev_per_fu=0.000 n_ef_per_ev_fu=18.3 formation_enthalpy_0k_ev_per_atom=-0.23 pbc="T T T"
Ce 1.714 1.054 3.208
Ce 5.273 3.243 9.202
Hg 6.205 3.816 6.220
Hg 4.492 2.762 3.010
Hg 0.782 0.481 6.190
Hg 2.496 1.535 9.399
Tm 0.000 0.000 0.000


No. 2
16
Lattice="4.680 0.000 0.000 0.000 9.158 0.000 0.000 0.000 11.062" Properties=species:S:1:pos:R:3 comment="BaBr2O (PBE-GGA, optimized geometry)" magnetic_moment_mub_per_cell=0.00 relative_energy_ev_per_fu=0.000 n_ef_per_ev_fu=0.0 e_form_raw_ev_per_atom=-1.51 pbc="T T T"
Br 1.170 7.973 1.124
Ba 3.510 2.477 6.770
Ba 1.170 6.681 4.292
Ba 3.510 7.056 9.823
Br 3.510 0.514 3.712
O 3.510 7.864 3.968
Br 1.170 8.644 7.350
O 1.170 1.295 7.094
O 3.510 3.284 1.563
O 1.170 5.874 9.499
Br 1.170 3.394 4.406
Br 3.510 1.185 9.937
Br 1.170 4.065 9.243
Ba 1.170 2.102 1.239
Br 3.510 5.093 1.819
Br 3.510 5.764 6.655


No. 3
8
Lattice="4.725 0.000 0.000 0.000 4.725 0.000 2.363 2.363 10.642" Properties=species:S:1:pos:R:3 comment="KNaOs2 (PBE-GGA, optimized geometry)" magnetic_moment_mub_per_cell=4.32 relative_energy_ev_per_fu=0.000 n_ef_per_ev_fu=3.9 formation_enthalpy_0k_ev_per_atom=1.62 pbc="T T T"
Na 2.363 2.363 0.000
Os 3.544 4.725 7.981
Os 2.363 1.181 2.660
K 4.725 2.363 5.321
Os 5.907 4.725 7.981
Os 2.363 3.544 2.660
K 0.000 0.000 0.000
Na 2.363 4.725 5.321


No. 4
14
Lattice="-0.714 1.702 -3.708 6.391 -3.777 -2.963 -7.178 -3.509 -0.229" Properties=species:S:1:pos:R:3 comment="ScFe3Ge3 (PBE-GGA, optimized geometry)" magnetic_moment_mub_per_cell=8.21 relative_energy_ev_per_fu=0.000 n_ef_per_ev_fu=4.7 formation_enthalpy_0k_ev_per_atom=0.01 pbc="T T T"
Fe -4.156 -2.180 -1.357
Fe -3.195 -4.801 -2.745
Ge -2.259 -0.753 -1.067
Ge 3.852 -1.498 -4.898
Ge -0.612 -0.906 -3.768
Sc 1.690 -3.262 -2.979
Ge -5.353 -4.087 -2.002
Fe 1.694 -0.784 -4.155
Fe 2.655 -3.405 -5.543
Fe -1.150 -2.538 -2.100
Ge -0.889 -4.679 -3.132
Fe -0.351 -3.047 -4.800
Ge 0.758 -4.832 -5.833
Sc -3.190 -2.322 -3.921


No. 5
15
Lattice="9.045 0.000 0.000 -4.522 7.831 -0.024 0.000 -5.194 8.294" Properties=species:S:1:pos:R:3 comment="K3Np3SbTe8 (PBE-GGA, optimized geometry)" magnetic_moment_mub_per_cell=11.00 n_ef_per_ev_fu=24.6 e_form_raw_ev_per_atom=-0.75 pbc="T T T"
Np -2.261 1.319 4.135
Te -2.252 3.928 5.819
Np 4.522 -2.597 4.147
Te 6.774 -1.291 2.451
Np 2.261 1.319 4.135
K 0.000 0.000 0.000
K 2.261 3.916 -0.012
Te 4.522 0.019 5.868
Te 2.252 3.929 5.819
Te 0.000 2.618 2.401
Te 0.000 0.031 5.831
Sb 0.000 -2.597 4.147
Te 4.522 2.607 2.439
K -2.261 3.916 -0.012
Te 2.271 -1.291 2.450


No. 6
5
Lattice="-3.048 -0.716 2.212 2.227 -1.946 2.439 0.692 3.343 2.035" Properties=species:S:1:pos:R:3 comment="Fe2TcRuN (PBE-GGA, optimized geometry)" magnetic_moment_mub_per_cell=3.81 n_ef_per_ev_fu=6.2 e_form_raw_ev_per_atom=0.12 pbc="T T T"
Ru -0.064 0.341 3.343
Fe -1.524 -0.358 1.106
Fe 1.113 -0.973 1.219
N 0.000 0.000 0.000
Tc 0.346 1.671 1.018


No. 7
4
Lattice="-0.871 -0.973 4.485 2.017 -4.103 0.961 1.204 4.261 -1.491" Properties=species:S:1:pos:R:3 comment="P3W (PBE-GGA, optimized geometry)" magnetic_moment_mub_per_cell=0.00 relative_energy_ev_per_fu=2.003 n_ef_per_ev_fu=1.4 formation_enthalpy_0k_ev_per_atom=0.35 pbc="T T T"
P 0.453 0.375 2.859
P 1.107 -4.907 5.266
W 1.897 -1.190 1.096
P 0.611 -2.707 2.904


No. 8
9
Lattice="4.164 0.000 0.000 -2.082 6.949 -0.274 0.000 -0.085 11.324" Properties=species:S:1:pos:R:3 comment="Ac6Pt2Au (PBE-GGA, optimized geometry)" magnetic_moment_mub_per_cell=0.00 n_ef_per_ev_fu=10.3 formation_enthalpy_0k_ev_per_atom=-0.69 pbc="T T T"
Pt 2.082 3.394 8.950
Ac 2.082 5.041 0.419
Ac 0.000 1.822 10.631
Ac 0.000 5.667 8.304
Ac 2.082 1.196 2.746
Au 2.082 -0.043 5.662
Ac 0.000 2.092 6.820
Pt 0.000 3.470 2.100
Ac 2.082 4.771 4.230


No. 9
6
Lattice="2.547 0.000 0.000 1.274 2.206 0.000 0.001 0.002 8.375" Properties=species:S:1:pos:R:3 comment="MnNiH (PBE-GGA, optimized geometry)" magnetic_moment_mub_per_cell=0.00 final_energy_ev_per_atom=-6.12 n_ef_per_ev_fu=1.6 pbc="T T T"
Ni 1.877 2.081 0.405
Ni 1.879 0.612 2.469
H 3.151 1.345 7.713
Mn 3.152 1.345 4.657
H 1.878 2.081 3.511
Mn 1.878 0.610 6.523


No. 10
4
Lattice="-3.020 10.181 2.761 -5.979 7.807 4.868 -2.076 8.483 6.642" Properties=species:S:1:pos:R:3 comment="Ba2CaNi (PBE-GGA, optimized geometry)" magnetic_moment_mub_per_cell=0.00 relative_energy_ev_per_fu=0.178 n_ef_per_ev_fu=3.2 formation_enthalpy_0k_ev_per_atom=0.10 pbc="T T T"
Ba -0.312 0.745 0.401
Ni -8.306 19.853 10.704
Ca -2.769 6.618 3.568
Ba -5.226 12.491 6.734


No. 11
5
Lattice="4.862 0.000 0.000 0.000 4.862 0.000 0.000 0.000 4.862" Properties=species:S:1:pos:R:3 comment="Cd3FeNi (PBE-GGA, optimized geometry)" magnetic_moment_mub_per_cell=3.36 relative_energy_ev_per_fu=0.000 n_ef_per_ev_fu=11.7 formation_enthalpy_0k_ev_per_atom=0.76 pbc="T T T"
Cd 0.000 2.431 0.000
Cd 0.000 0.000 2.431
Fe 2.431 2.431 2.431
Ni 0.000 0.000 0.000
Cd 2.431 0.000 0.000


No. 12
24
Lattice="-4.179 -3.872 3.551 -5.423 -4.643 -5.099 3.308 -7.979 1.538" Properties=species:S:1:pos:R:3 comment="CaGa9Pd2 (PBE-GGA, optimized geometry)" magnetic_moment_mub_per_cell=0.00 n_ef_per_ev_fu=4.3 formation_enthalpy_0k_ev_per_atom=-0.32 pbc="T T T"
Ca -2.090 -1.936 1.776
Ga -4.379 -7.115 -3.968
Ga -4.784 -14.444 1.404
Ga -5.236 -6.743 -0.249
Pd -4.186 -6.543 2.217
Ga -3.979 -4.336 0.683
Pd -6.897 -8.865 -0.333
Ga -1.931 -8.006 2.264
Ga -6.875 -13.645 -0.186
Ga -5.703 -11.265 -0.531
Ga -2.305 -4.080 -1.390
Ga 0.552 -7.092 1.861
Ga 1.046 -9.188 0.157
Ga -1.887 -5.135 2.273
Ga -3.612 -12.064 1.058
Ga -0.214 -4.879 0.200
Ga -4.873 -5.019 -2.264
Ca -2.103 -7.279 -0.893
Ga -4.192 -9.215 0.883
Pd -2.532 -10.533 2.986
Pd -3.154 -10.919 -1.339
Ga 0.000 0.000 0.000
Ga -1.437 -10.102 0.560
Ga -4.742 -8.839 -1.953